(1)
5
Lattice="-2.943 -2.768 -2.595 1.433 -3.852 2.484 -2.673 0.569 2.424" Properties=species:S:1:pos:R:3 comment="PBE CoOsS2N, relaxed" crystal_system=tetragonal sg="P4/mmm (123)" pbc="T T T"
N -1.337 0.285 1.212
S 0.716 -1.926 1.242
S -1.472 -1.384 -1.298
Co -2.092 -3.026 1.157
Os 0.000 0.000 0.000

---

(2)
5
Lattice="4.563 0.000 0.000 0.000 4.563 0.000 0.000 0.000 3.270" Properties=species:S:1:pos:R:3 comment="PBE CoOsS2N, relaxed" crystal_system=tetragonal sg="P4/mmm (123)" pbc="T T T"
N 0.000 0.000 1.635
S 2.282 0.000 0.000
S 0.000 2.282 0.000
Os 2.282 2.282 1.635
Co 0.000 0.000 0.000

---

(3)
5
Lattice="3.732 0.000 0.000 0.000 3.732 0.000 0.000 0.000 5.286" Properties=species:S:1:pos:R:3 comment="PBE CoOsSN2, relaxed" crystal_system=tetragonal sg="P4/mmm (123)" pbc="T T T"
S 0.000 0.000 2.643
N 0.000 1.866 0.000
N 1.866 0.000 0.000
Co 1.866 1.866 2.643
Os 0.000 0.000 0.000

---

(4)
5
Lattice="3.561 0.000 0.000 0.000 3.561 0.000 0.000 0.000 4.655" Properties=species:S:1:pos:R:3 comment="PBE CoOsSN2, relaxed" crystal_system=tetragonal sg="P4/mmm (123)" pbc="T T T"
N 0.000 1.781 0.000
N 1.781 0.000 0.000
Os 1.781 1.781 2.328
S 0.000 0.000 2.328
Co 0.000 0.000 0.000

---

(5)
5
Lattice="-3.529 2.671 1.216 -2.523 -2.103 -2.705 -1.097 -2.965 3.328" Properties=species:S:1:pos:R:3 comment="PBE CoOs2SeN, relaxed" crystal_system=tetragonal sg="P4/mmm (123)" pbc="T T T"
Se -1.262 -1.051 -1.352
Os -1.765 1.336 0.608
Os -0.548 -1.482 1.664
Co 0.000 0.000 0.000
N -3.575 -1.198 0.920

---

(6)
5
Lattice="-0.306 3.528 -1.215 -3.129 0.421 2.011 3.026 1.757 4.340" Properties=species:S:1:pos:R:3 comment="PBE CoOsSeN2, relaxed" crystal_system=tetragonal sg="P4/mmm (123)" pbc="T T T"
Os 0.000 0.000 0.000
N -0.153 1.764 -0.607
N -1.565 0.210 1.006
Se 1.513 0.879 2.170
Co -0.205 2.853 2.568

---

(7)
5
Lattice="5.082 0.000 0.000 0.000 5.082 0.000 0.000 0.000 3.647" Properties=species:S:1:pos:R:3 comment="PBE CoOsSe2N, relaxed" crystal_system=tetragonal sg="P4/mmm (123)" pbc="T T T"
Se 2.541 0.000 0.000
Se 0.000 2.541 0.000
Os 0.000 0.000 0.000
Co 2.541 2.541 1.824
N 0.000 0.000 1.824

---

(8)
5
Lattice="-1.467 3.180 0.135 -2.783 -1.209 -1.754 -2.773 -1.511 5.442" Properties=species:S:1:pos:R:3 comment="PBE CoOsSeN2, relaxed" crystal_system=tetragonal sg="P4/mmm (123)" pbc="T T T"
Se -1.386 -0.755 2.721
N -1.391 -0.605 -0.877
N -0.734 1.590 0.068
Co 0.000 0.000 0.000
Os -3.511 0.230 1.912

---

(9)
5
Lattice="4.802 0.000 0.000 0.000 4.802 0.000 0.000 0.000 3.286" Properties=species:S:1:pos:R:3 comment="PBE CoOsSe2N, relaxed" crystal_system=tetragonal sg="P4/mmm (123)" pbc="T T T"
Se 0.000 2.401 0.000
Se 2.401 0.000 0.000
Co 0.000 0.000 0.000
N 0.000 0.000 1.643
Os 2.401 2.401 1.643

---

(10)
5
Lattice="-3.971 0.319 -1.384 -1.418 -0.685 3.912 0.063 3.703 0.671" Properties=species:S:1:pos:R:3 comment="PBE Ta2CoOsN, relaxed" crystal_system=tetragonal sg="P4/mmm (123)" pbc="T T T"
Ta -1.985 0.159 -0.692
Ta -0.709 -0.342 1.956
Os -2.663 1.669 1.600
N 0.000 0.000 0.000
Co 0.032 1.852 0.336

---

(11)
5
Lattice="3.637 0.000 0.000 0.000 5.909 0.000 0.000 0.000 3.637" Properties=species:S:1:pos:R:3 comment="PBE CoTeOsN2, relaxed" crystal_system=tetragonal sg="P4/mmm (123)" pbc="T T T"
N 0.000 0.000 1.819
N 1.819 0.000 0.000
Os 1.819 2.954 1.819
Co 0.000 0.000 0.000
Te 0.000 2.954 0.000

---

(12)
5
Lattice="5.412 0.000 0.000 0.000 5.412 0.000 0.000 0.000 3.642" Properties=species:S:1:pos:R:3 comment="PBE CoTe2OsN, relaxed" crystal_system=tetragonal sg="P4/mmm (123)" pbc="T T T"
Te 2.706 0.000 0.000
Te 0.000 2.706 0.000
N 0.000 0.000 1.821
Os 0.000 0.000 0.000
Co 2.706 2.706 1.821

---

| no. | E (Ry/atom) | density of states at the Fermi level (states/eV/cell) |
| --- | --- | --- |
| 1 | -0.45329 | 4.4 |
| 2 | -0.43958 | 5.3 |
| 3 | -0.51048 | 6.7 |
| 4 | -0.46212 | 5.4 |
| 5 | -0.41026 | 5.5 |
| 6 | -0.50491 | 6.6 |
| 7 | -0.43648 | 4.9 |
| 8 | -0.45152 | 4.3 |
| 9 | -0.42848 | 5.1 |
| 10 | -0.77189 | 3.6 |
| 11 | -0.44017 | 4.7 |
| 12 | -0.42962 | 5.8 |